*a*
MgScRe GGA-PBE relaxed; M_tot = 0.0000 μB/atom
1.0
7.2325 -0.0045 0.0000
6.1256 3.8452 0.0000
-6.6790 -1.9203 2.0028
Mg Re Sc
1 1 1
Cartesian
13.1837 3.7905 0.0000 Mg
4.4494 1.2793 0.0000 Re
9.0830 2.6115 0.0000 Sc



*b*
MgScRe GGA-PBE relaxed; M_tot = 0.0000 μB/atom
1.0
7.4642 -0.0142 0.0109
6.7473 2.7608 0.0006
0.7168 -0.7294 2.6775
Sc Re Mg
1 1 1
Cartesian
9.9112 1.6389 0.8611 Sc
5.1827 0.4210 1.7952 Re
14.0459 2.7039 0.0442 Mg



*c*
MgScRe GGA-PBE relaxed; M_tot = 0.5451 μB/atom
1.0
-0.2480 -3.9255 2.3027
-0.3253 -3.9478 -2.2544
3.5200 -2.8950 -0.0455
Re Mg Sc
1 1 1
Cartesian
1.4734 -5.3842 0.0014 Re
0.0000 0.0000 0.0000 Mg
2.2101 -8.0762 0.0021 Sc



Stability, descending: *b*, *a*, *c*



*a*
MgScRe GGA-PBE relaxed; M_tot = 0.0549 μB/atom
1.0
-2.3951 -3.0452 -2.3272
0.9892 -4.3963 0.3460
-2.8228 -2.7878 2.1646
Mg Re Sc
1 1 1
Cartesian
-2.1144 -5.1147 0.0917 Mg
-3.1715 -7.6720 0.1375 Re
0.0000 0.0000 0.0000 Sc



*b*
MgScRe GGA-PBE relaxed; M_tot = 0.0000 μB/atom
1.0
-3.0125 -0.2858 4.0734
-4.0068 -3.1070 -0.2037
5.0436 0.5302 -0.1749
Sc Mg Re
1 1 1
Cartesian
-4.7253 -2.2840 2.6050 Sc
-6.9836 -3.3756 3.8500 Mg
-2.3297 -1.1261 1.2843 Re



Stability, descending: *b*, *a*



*a*
MgReSe GGA-PBE relaxed; M_tot = 0.0000 μB/atom
1.0
4.2512 0.0000 0.0000
-2.1256 3.6817 0.0000
0.0000 0.0000 3.3567
Se Mg Re
1 1 1
Cartesian
2.1256 1.2272 1.6785 Se
0.0000 0.0000 3.3565 Mg
0.0000 2.4544 1.6785 Re



*b*
MgReSe GGA-PBE relaxed; M_tot = 0.0000 μB/atom
1.0
7.1201 0.0077 -0.0050
6.1810 2.8707 -0.0167
0.9391 -1.1658 2.6149
Re Mg Se
1 1 1
Cartesian
4.9700 0.1529 1.7552 Re
13.2417 2.8589 -0.0090 Mg
9.3296 1.5791 0.8253 Se



Stability, descending: *a*, *b*



*a*
MgRe3Se GGA-PBE relaxed; M_tot = 0.2418 μB/atom
1.0
-2.2486 3.3595 -2.0936
-0.1047 -2.4575 -3.8308
-3.9571 -1.8440 1.2911
Mg Re Se
1 3 1
Cartesian
0.0000 0.0000 0.0000 Mg
-1.1243 1.6797 -1.0468 Re
-1.9785 -0.9220 0.6455 Re
-0.0524 -1.2287 -1.9154 Re
-3.1552 -0.4710 -2.3167 Se



*b*
MgRe3Se GGA-PBE relaxed; M_tot = 0.0945 μB/atom
1.0
4.5691 0.0000 0.0000
0.0000 4.5691 0.0000
0.0000 0.0000 4.5691
Re Mg Se
3 1 1
Cartesian
0.0000 2.2845 0.0000 Re
0.0000 0.0000 2.2845 Re
2.2845 0.0000 0.0000 Re
2.2845 2.2845 2.2845 Mg
0.0000 0.0000 0.0000 Se



Stability, descending: *b*, *a*



*a*
MgRe2Si GGA-PBE relaxed; M_tot = 0.0000 μB/atom
1.0
-2.5872 0.2383 -0.9127
1.2965 -2.0803 -1.2551
-2.7176 -5.4785 6.2731
Si Re Mg
1 2 1
Cartesian
-1.3074 -2.6356 3.0178 Si
-0.0299 -0.0603 0.0691 Re
-1.3462 -2.3337 0.5338 Re
-2.6837 -5.0301 3.6211 Mg



*b*
MgRe2Si GGA-PBE relaxed; M_tot = 0.0000 μB/atom
1.0
5.0473 0.0017 0.0054
-2.3900 4.5261 -0.0008
0.2672 0.8153 2.5937
Mg Re Si
1 2 1
Cartesian
1.3286 2.2639 0.0023 Mg
2.6573 0.4085 1.2995 Re
0.0000 0.0000 0.0000 Re
-1.0614 2.6707 1.2964 Si



Stability, descending: *b*, *a*



*a*
Sr2Mg2Re GGA-PBE relaxed; M_tot = 0.4152 μB/atom
1.0
7.9330 0.0000 0.0000
0.0000 7.9330 0.0000
0.0000 0.0000 5.1650
Mg Sr Re
4 4 2
Cartesian
5.1839 6.7156 2.5825 Mg
1.2174 5.1839 2.5825 Mg
6.7156 2.7491 2.5825 Mg
2.7491 1.2174 2.5825 Mg
1.2581 2.7084 0.0000 Sr
2.7084 6.6749 0.0000 Sr
6.6749 5.2246 0.0000 Sr
5.2246 1.2581 0.0000 Sr
3.9665 3.9665 0.0000 Re
0.0000 0.0000 0.0000 Re



*b*
Sr2Mg2Re GGA-PBE relaxed; M_tot = 0.3978 μB/atom
1.0
-2.8225 -2.6094 -0.2695
2.2823 -2.6378 1.6373
-3.7910 0.2069 10.1518
Mg Sr Re
2 2 1
Cartesian
-0.8893 -2.5273 6.2365 Mg
-3.4418 -2.5131 5.2831 Mg
-3.4355 -2.9196 9.1537 Sr
-0.8956 -2.1208 2.3659 Sr
0.0000 0.0000 0.0000 Re



Stability, descending: *b*, *a*



*a*
Sr2MgRe GGA-PBE relaxed; M_tot = 0.2093 μB/atom
1.0
-2.8429 2.2363 0.6521
-1.7848 -2.7523 1.6576
3.6399 2.3476 7.8172
Mg Sr Re
1 2 1
Cartesian
2.0949 1.3511 4.4990 Mg
-1.1454 0.4956 3.6643 Sr
3.3434 2.1563 7.1803 Sr
0.1793 1.3499 6.5091 Re



*b*
Sr2MgRe GGA-PBE relaxed; M_tot = 0.0623 μB/atom
1.0
-3.8825 1.7350 -2.0567
-3.9724 -1.3355 -2.1796
-4.7249 -0.1574 7.3868
Mg Re Sr
1 1 2
Cartesian
-3.1449 0.0605 0.7876 Mg
-9.4348 0.1816 2.3629 Re
-6.4185 0.1112 1.9166 Sr
-4.5962 -0.1475 7.0455 Sr



Stability, descending: *a*, *b*



*a*
Sr2MgRe GGA-PBE relaxed; M_tot = 0.0000 μB/atom
1.0
-2.5394 -5.2625 -3.9368
3.0828 -2.3807 -5.8711
-0.2291 1.2171 6.9359
Sr Re Mg
2 1 1
Cartesian
0.0270 -0.3794 -0.4868 Sr
-1.2541 -3.8536 -0.8499 Sr
1.5718 -2.6205 -2.0837 Re
0.2413 -3.3942 -4.3555 Mg



*b*
Sr2MgRe GGA-PBE relaxed; M_tot = 0.2093 μB/atom
1.0
5.6561 -0.0413 0.0000
1.4661 5.4629 0.0000
-3.5611 -2.7108 3.4587
Mg Sr Re
1 2 1
Cartesian
3.5611 2.7108 0.0000 Mg
0.7331 2.7314 1.7294 Sr
0.0000 0.0000 0.0000 Sr
2.8280 -0.0206 1.7294 Re



Stability, descending: *a*, *b*



*a*
Sr2MgRe GGA-PBE relaxed; M_tot = 0.0001 μB/atom
1.0
-4.9507 0.9211 0.3059
-0.5072 -3.0661 1.0246
0.5215 0.5013 6.9293
Sr Mg Re
2 1 1
Cartesian
-0.0031 -2.5040 7.4884 Sr
-2.4544 -0.2416 2.6055 Sr
-0.0688 -1.8076 4.3292 Mg
-2.3886 -0.9378 5.7677 Re



*b*
Sr2MgRe GGA-PBE relaxed; M_tot = 0.2931 μB/atom
1.0
3.2578 -4.2137 -1.1260
-1.9435 -5.0801 0.2273
-0.7184 -2.8472 -4.5841
Sr Re Mg
2 1 1
Cartesian
0.4469 -9.1057 -4.1121 Sr
0.1490 -3.0352 -1.3707 Sr
0.2979 -6.0705 -2.7414 Re
0.0000 0.0000 0.0000 Mg



Stability, descending: *a*, *b*



*a*
Sr2MgRe GGA-PBE relaxed; M_tot = 0.0000 μB/atom
1.0
6.3163 0.0031 -0.0218
5.4970 3.1109 -0.0218
1.6496 0.4349 5.6530
Sr Mg Re
2 1 1
Cartesian
3.2000 0.8435 1.6803 Sr
1.9699 0.5193 5.2184 Sr
6.1433 1.6194 2.7897 Mg
10.5309 2.7760 4.3787 Re



*b*
Sr2MgRe GGA-PBE relaxed; M_tot = 0.0421 μB/atom
1.0
3.1403 0.0000 0.0000
0.0000 6.3897 -0.0057
0.0000 3.7924 5.3249
Sr Re Mg
2 1 1
Cartesian
1.5702 3.1949 -0.0028 Sr
0.0000 0.0000 0.0000 Sr
0.0000 1.8962 2.6624 Re
1.5702 5.0911 2.6596 Mg



Stability, descending: *a*, *b*



*a*
SrMgRe3 GGA-PBE relaxed; M_tot = 0.0000 μB/atom
1.0
4.7265 0.0000 0.0000
0.0000 4.7265 0.0000
0.0000 0.0000 4.7265
Re Mg Sr
3 1 1
Cartesian
0.0000 2.3632 0.0000 Re
2.3632 0.0000 0.0000 Re
0.0000 0.0000 2.3632 Re
0.0000 0.0000 0.0000 Mg
2.3632 2.3632 2.3632 Sr



*b*
SrMgRe3 GGA-PBE relaxed; M_tot = 0.5089 μB/atom
1.0
4.8503 0.0000 0.0000
0.0000 4.8503 0.0000
0.0000 0.0000 4.8503
Re Mg Sr
3 1 1
Cartesian
0.0000 0.0000 2.4252 Re
0.0000 2.4252 0.0000 Re
2.4252 0.0000 0.0000 Re
2.4252 2.4252 2.4252 Mg
0.0000 0.0000 0.0000 Sr



Stability, descending: *a*, *b*



*a*
Mg2TaRe GGA-PBE relaxed; M_tot = 0.0000 μB/atom
1.0
-2.4680 1.1344 0.3257
0.1391 -0.4701 2.6914
3.9963 8.3357 1.2496
Mg Ta Re
2 1 1
Cartesian
0.0420 0.0876 0.0131 Mg
1.9561 4.0802 0.6117 Mg
1.8328 6.5839 2.4457 Ta
-0.1654 2.4160 1.8209 Re



*b*
Mg2TaRe GGA-PBE relaxed; M_tot = 0.0000 μB/atom
1.0
-3.2261 -1.1967 -0.8572
0.4066 -2.7091 2.2517
-2.2059 3.0407 4.0566
Re Mg Ta
1 2 1
Cartesian
-1.9612 -1.1927 1.7114 Re
-1.0735 1.4798 1.9742 Mg
-0.0294 0.0406 0.0541 Mg
-3.0641 0.3276 3.7397 Ta



*c*
Mg2TaRe GGA-PBE relaxed; M_tot = 0.0000 μB/atom
1.0
3.3130 0.0000 0.0000
0.0000 3.3130 0.0000
0.0000 0.0000 6.8512
Mg Ta Re
2 1 1
Cartesian
1.6565 1.6565 1.8643 Mg
0.0000 0.0000 6.8004 Mg
1.6565 1.6565 4.8388 Ta
0.0000 0.0000 3.6244 Re



Stability, descending: *c*, *a*, *b*